1.
First-principles (GGA-PBE) data for a relaxed Zr6ZnFe2 crystal, as listed in Alexandria via LeMat-Bulk.

Summary:
As for the formation energy: -0.122 eV/atom.

Unit cell a=8.4465 b=8.6768 c=9.6666 alpha=90.00 beta=90.00 gamma=90.00
Space group Immm (No. 71)
Unique sites:
1 Zr 0.0000 0.1999 0.2319
2 Zr 0.1942 0.5000 0.1737
3 Zr 0.2027 0.3151 0.5000
4 Zn 0.0000 0.0000 0.0000
5 Zn 0.0000 0.0000 0.5000
6 Fe 0.0000 0.3294 0.0000
7 Fe 0.0000 0.5000 0.3662

2.
First-principles (GGA-PBE) data for a relaxed Zr5Zn4Fe crystal, as listed in Alexandria via LeMat-Bulk.

Summary:
As for the formation energy: -0.254 eV/atom.

Unit cell a=3.3057 b=3.3057 c=16.6340 alpha=90.00 beta=90.00 gamma=90.00
Space group P4/mmm (No. 123)
Unique sites:
1 Zr 0.0000 0.0000 0.0000
2 Zr 0.0000 0.0000 0.2039
3 Zr 0.0000 0.0000 0.4083
4 Zn 0.5000 0.5000 0.1016
5 Zn 0.5000 0.5000 0.3052
6 Fe 0.5000 0.5000 0.5000

3.
First-principles (GGA-PBE) data for a relaxed Zr6ZnFe crystal, as listed in Alexandria via LeMat-Bulk.

Summary:
As for the formation energy: -0.052 eV/atom.

Unit cell a=6.0300 b=9.3870 c=5.9071 alpha=90.00 beta=100.78 gamma=90.00
Space group C2/m (No. 12)
Unique sites:
1 Zr 0.1492 0.2001 0.2573
2 Zr 0.2405 0.5000 0.1173
3 Zn 0.0000 0.5000 0.5000
4 Fe 0.0000 0.0000 0.5000

4.
First-principles (GGA-PBE) data for a relaxed Zr4Fe5 crystal, as listed in Alexandria via LeMat-Bulk.

Summary:
As for the formation energy: 0.083 eV/atom.

Unit cell a=7.9595 b=7.9595 c=5.2774 alpha=90.00 beta=90.00 gamma=120.00
Space group P6_3/mcm (No. 193)
Unique sites:
1 Zr 0.0000 0.0000 0.0000
2 Zr 0.0000 0.3722 0.2500
3 Fe 0.0000 0.3081 0.7500
4 Fe 0.3333 0.6667 0.0000

Number 1: Fermi-level density of states 33.850 states/eV/cell. Number 2: Fermi-level density of states 4.753 states/eV/cell. Number 3: Fermi-level density of states 13.158 states/eV/cell. Number 4: Fermi-level density of states 20.973 states/eV/cell.